No. 1
A relaxed structure of ScFeCo2C. Source: Alexandria via LeMat-Bulk, functional PBE.

Results
* M_tot: 1.029 Bohr magnetons per cell
* E_form: -0.255 eV per atom
* energy relative to the lowest polymorph listed for this composition: 0.000 eV/atom
* calculated volume: 56 Å³/cell
* final energy: -7.9010 eV/atom

Cell lengths 3.811, 3.811, 3.830 Å; angles 90.00, 90.00, 90.00 degrees
Sites, in units of the cell vectors:
Sc: 0.000 0.000 0.000
Fe: 0.500 0.500 0.000
Co: 0.000 0.500 0.500
Co: 0.500 0.000 0.500
C: 0.500 0.500 0.500

---

No. 2
A relaxed structure of Sm4Fe27Co7C2. Source: Alexandria via LeMat-Bulk, functional PBE.

Results
* M_tot: 70.377 Bohr magnetons per cell
* E_form: -0.037 eV per atom
* calculated volume: 527 Å³/cell
* final energy: -7.9259 eV/atom

Cell lengths 6.463, 6.463, 12.829 Å; angles 96.27, 96.27, 83.62 degrees
Sites, in units of the cell vectors:
Sm: 0.000 0.000 0.000
Sm: 0.000 0.000 0.499
Sm: 0.679 0.679 0.145
Sm: 0.679 0.679 0.644
Fe: 0.000 0.000 0.249
Fe: 0.051 0.627 0.322
Fe: 0.053 0.627 0.822
Fe: 0.055 0.342 0.181
Fe: 0.055 0.342 0.681
Fe: 0.192 0.680 0.651
Fe: 0.192 0.681 0.151
Fe: 0.244 0.244 0.870
Fe: 0.335 0.623 0.463
Fe: 0.337 0.624 0.964
Fe: 0.342 0.055 0.181
Fe: 0.342 0.055 0.681
Fe: 0.431 0.431 0.276
Fe: 0.436 0.436 0.774
Fe: 0.484 0.999 0.492
Fe: 0.487 0.999 0.993
Fe: 0.623 0.335 0.463
Fe: 0.624 0.337 0.964
Fe: 0.627 0.051 0.322
Fe: 0.627 0.053 0.822
Fe: 0.680 0.192 0.651
Fe: 0.680 0.680 0.397
Fe: 0.681 0.192 0.151
Fe: 0.681 0.681 0.896
Fe: 0.998 0.998 0.748
Fe: 0.999 0.484 0.492
Fe: 0.999 0.487 0.993
Co: 0.243 0.243 0.370
Co: 0.339 0.339 0.572
Co: 0.339 0.839 0.322
Co: 0.340 0.340 0.072
Co: 0.340 0.840 0.822
Co: 0.839 0.339 0.322
Co: 0.840 0.340 0.822
C: 0.839 0.839 0.322
C: 0.840 0.840 0.822

---

No. 3
A relaxed structure of SmFeCoC2. Source: Alexandria via LeMat-Bulk, functional PBE.

Results
* M_tot: 0.000 Bohr magnetons per cell
* E_form: -0.192 eV per atom
* calculated volume: 58 Å³/cell
* final energy: -7.9387 eV/atom

Cell lengths 5.589, 5.589, 5.589 Å; angles 144.53, 144.53, 51.04 degrees
Sites, in units of the cell vectors:
Sm: 0.000 0.000 0.000
Fe: 0.750 0.250 0.500
Co: 0.250 0.750 0.500
C: 0.343 0.343 0.000
C: 0.657 0.657 0.000

---

No. 4
A relaxed structure of Sm4Fe31Co3C6. Source: Alexandria via LeMat-Bulk, functional PBE.

Results
* M_tot: 66.691 Bohr magnetons per cell
* E_form: -0.051 eV per atom
* calculated volume: 544 Å³/cell
* final energy: -8.1846 eV/atom

Cell lengths 6.505, 6.528, 13.029 Å; angles 83.69, 83.64, 83.69 degrees
Sites, in units of the cell vectors:
Sm: 0.000 0.000 0.000
Sm: 0.000 0.000 0.500
Sm: 0.691 0.691 0.345
Sm: 0.693 0.692 0.847
Fe: 0.001 0.004 0.243
Fe: 0.002 0.006 0.744
Fe: 0.003 0.488 0.502
Fe: 0.004 0.486 0.003
Fe: 0.061 0.346 0.315
Fe: 0.061 0.346 0.815
Fe: 0.061 0.630 0.673
Fe: 0.062 0.630 0.173
Fe: 0.249 0.249 0.125
Fe: 0.250 0.250 0.625
Fe: 0.344 0.063 0.314
Fe: 0.344 0.063 0.814
Fe: 0.344 0.629 0.531
Fe: 0.344 0.846 0.673
Fe: 0.345 0.346 0.422
Fe: 0.345 0.630 0.031
Fe: 0.345 0.846 0.173
Fe: 0.346 0.348 0.922
Fe: 0.439 0.441 0.220
Fe: 0.439 0.442 0.720
Fe: 0.487 0.002 0.501
Fe: 0.487 0.004 0.000
Fe: 0.628 0.064 0.172
Fe: 0.629 0.062 0.673
Fe: 0.629 0.345 0.530
Fe: 0.629 0.346 0.031
Fe: 0.686 0.687 0.602
Fe: 0.687 0.203 0.343
Fe: 0.687 0.203 0.844
Fe: 0.844 0.347 0.673
Fe: 0.844 0.348 0.173
Co: 0.209 0.689 0.844
Co: 0.210 0.688 0.344
Co: 0.687 0.689 0.105
C: 0.345 0.845 0.422
C: 0.346 0.845 0.922
C: 0.844 0.845 0.673
C: 0.844 0.846 0.173
C: 0.845 0.346 0.422
C: 0.845 0.347 0.923